5
Lattice="2.691 0.000 0.000 0.000 3.748 0.000 0.000 0.000 5.521" Properties=species:S:1:pos:R:3 comment="MnFeHIrPd PBE-GGA optimized geometry" dft_energy_ev_per_atom=-6.987 dos_at_fermi_per_ev_atom=0.7648 pbc="T T T"
Mn 0.000 0.000 0.000
Fe 1.345 1.874 1.454
H 1.345 0.000 1.197
Ir 1.345 1.874 4.427
Pd 0.000 0.000 2.860